# TbDy6Th8 | Alexandria | PBE-GGA | optimized geometry
# Calculated volume ... 1453.0 Å³ per cell
# Spin magnetization ... 0.0 Bohr magnetons per cell
# E_form ... 2.1 eV per formula unit
# DOS at the Fermi energy ... 1.762 states/eV per atom
# Calculated total energy ... -5.97 eV per atom
data_TbDy6Th8
_chemical_formula_sum 'Tb3 Dy18 Th24'
_symmetry_space_group_name_H-M 'R -3'
_symmetry_Int_Tables_number 148
_symmetry_space_group_name_Hall '-R 3'
_cell_length_a 8.8338
_cell_length_b 8.8338
_cell_length_c 21.5004
_cell_angle_alpha 90.00
_cell_angle_beta 90.00
_cell_angle_gamma 120.00
loop_
_atom_site_label
_atom_site_type_symbol
_atom_site_fract_x
_atom_site_fract_y
_atom_site_fract_z
_atom_site_occupancy
Tb1 Tb 0.0000 0.0000 0.0000 1
Dy1 Dy 0.0220 0.2439 0.7080 1
Th1 Th 0.0000 0.0000 0.4227 1
Th2 Th 0.0579 0.8024 0.1368 1